Record 1
This record from Alexandria via LeMat-Bulk describes Ba3Al2Si2 at its PBEsol-relaxed geometry. The functional is meta-GGA SCAN.

Symmetry = Immm
Total moment = 0.01 μB per cell
Total energy = -22.441 eV per atom
Formation energy from raw total energies = -414 meV/atom

a b c (Å): 4.2632 5.0313 10.4736
angles (deg): 103.90 101.74 90.00
Last column: nearest neighbours and their distance in Å.
Element x y z (fractional)
Si1 0.1340 0.1340 0.2679  2 Al 2.53
Si2 0.8660 0.8660 0.7321  2 Al 2.53
Ba1 0.3141 0.3141 0.6283  5 Si 3.45-3.58, 2 Al 3.47
Ba2 0.6859 0.6859 0.3717  5 Si 3.45-3.58, 2 Al 3.47
Ba3 0.0000 0.5000 0.0000  8 Al 3.55, 4 Si 3.66
Al1 0.5656 0.0656 0.1312  2 Si 2.53, 1 Al 2.61
Al2 0.4344 0.9344 0.8688  2 Si 2.53, 1 Al 2.61



Record 2
This record from Alexandria via LeMat-Bulk describes CrInSb at its PBEsol-relaxed geometry. The functional is meta-GGA SCAN.

Symmetry = I4mm
Energy above the most stable polymorph in this dataset = 0 kJ/mol of formula units
Total moment = 3.64 μB per cell
Total energy = -29.477 eV per atom
Formation energy from raw total energies = 200 meV/atom

a b c (Å): 3.1211 3.1211 6.7112
angles (deg): 103.45 103.45 90.00
Last column: nearest neighbours and their distance in Å.
Element x y z (fractional)
Cr1 0.0025 0.0025 0.0049  4 Sb 2.78, 4 In 2.84
In1 0.3613 0.3613 0.7225  4 Cr 2.84, 4 In 3.12
Sb1 0.6363 0.6363 0.2726  4 Cr 2.78